## Hf3ScB (PBE)

Data for an optimized crystal structure of Hf3ScB.

Computed properties:
The energy above the lowest structure with this stoichiometry comes out at 0.000 eV/atom. As for the total moment: 0.00 μB/cell.

a = 4.6795 Å, b = 4.6795 Å, c = 4.6795 Å
α = 90.00°, β = 90.00°, γ = 90.00°
Last column: nearest neighbours and their distance in Å.
Sites, in units of the cell vectors:
Hf 0.0000 0.0000 0.5000  2 B 2.34
Hf 0.0000 0.5000 0.0000  2 B 2.34
Hf 0.5000 0.0000 0.0000  2 B 2.34
Sc 0.5000 0.5000 0.5000  12 Hf 3.31
B 0.0000 0.0000 0.0000  6 Hf 2.34



## HfSc2B (PBE)

Data for an optimized crystal structure of HfSc2B.

Computed properties:
Its final energy is -7.1019 eV/atom. As for the total moment: 0.00 μB/cell.

a = 9.4511 Å, b = 9.4511 Å, c = 9.4511 Å
α = 19.23°, β = 19.23°, γ = 19.23°
Last column: nearest neighbours and their distance in Å.
Sites, in units of the cell vectors:
Hf 0.0000 0.0000 0.0000  2 Sc 3.12, 6 Hf 3.16
Sc 0.1120 0.1120 0.1120  3 B 2.37
Sc 0.8880 0.8880 0.8880  3 B 2.37
B 0.5000 0.5000 0.5000  6 Sc 2.37



## HfScB (PBE)

Data for an optimized crystal structure of HfScB.

Computed properties:
Its final energy is -7.8340 eV/atom. As for the total moment: 0.00 μB/cell.

a = 6.9714 Å, b = 6.9714 Å, c = 6.9714 Å
α = 99.14°, β = 99.14°, γ = 99.14°
Last column: nearest neighbours and their distance in Å.
Sites, in units of the cell vectors:
Hf 0.1854 0.5622 0.4112  3 B 2.32-2.48
Hf 0.4112 0.1854 0.5622  3 B 2.32-2.48
Hf 0.4378 0.5888 0.8146  3 B 2.32-2.48
Hf 0.5622 0.4112 0.1854  3 B 2.32-2.48
Hf 0.5888 0.8146 0.4378  3 B 2.32-2.48
Hf 0.8146 0.4378 0.5888  3 B 2.32-2.48
Sc 0.0526 0.9105 0.6759  2 B 2.34-2.43
Sc 0.0895 0.3241 0.9474  2 B 2.34-2.43
Sc 0.3241 0.9474 0.0895  2 B 2.34-2.43
Sc 0.6759 0.0526 0.9105  2 B 2.34-2.43
Sc 0.9105 0.6759 0.0526  2 B 2.34-2.43
Sc 0.9474 0.0895 0.3241  2 B 2.34-2.43
B 0.1291 0.3118 0.6061  3 Hf 2.32-2.48, 2 Sc 2.34-2.43
B 0.3118 0.6061 0.1291  3 Hf 2.32-2.48, 2 Sc 2.34-2.43
B 0.3939 0.8709 0.6882  3 Hf 2.32-2.48, 2 Sc 2.34-2.43
B 0.6061 0.1291 0.3118  3 Hf 2.32-2.48, 2 Sc 2.34-2.43
B 0.6882 0.3939 0.8709  3 Hf 2.32-2.48, 2 Sc 2.34-2.43
B 0.8709 0.6882 0.3939  3 Hf 2.32-2.48, 2 Sc 2.34-2.43



## HfScB2 (PBE)

Data for an optimized crystal structure of HfScB2.

Computed properties:
The energy above the lowest structure with this stoichiometry comes out at 0.000 eV/atom. As for the total moment: 0.00 μB/cell.

a = 4.2151 Å, b = 4.2151 Å, c = 4.2151 Å
α = 60.00°, β = 60.00°, γ = 60.00°
Last column: nearest neighbours and their distance in Å.
Sites, in units of the cell vectors:
Hf 0.0000 0.0000 0.0000  8 B 2.58
Sc 0.5000 0.5000 0.5000  8 B 2.58
B 0.2500 0.2500 0.2500  4 Sc 2.58, 4 Hf 2.58
B 0.7500 0.7500 0.7500  4 Sc 2.58, 4 Hf 2.58



## HfSc3B (PBE)

Data for an optimized crystal structure of HfSc3B.

Computed properties:
The energy above the lowest structure with this stoichiometry comes out at 1.550 eV/atom. As for the total moment: 0.00 μB/cell.

a = 5.1106 Å, b = 5.1106 Å, c = 5.1106 Å
α = 90.00°, β = 90.00°, γ = 90.00°
Last column: nearest neighbours and their distance in Å.
Sites, in units of the cell vectors:
Hf 0.0000 0.0000 0.0000  6 Sc 2.56
Sc 0.0000 0.0000 0.5000  2 Hf 2.56
Sc 0.0000 0.5000 0.0000  2 Hf 2.56
Sc 0.5000 0.0000 0.0000  2 Hf 2.56
B 0.5000 0.5000 0.5000  12 Sc 3.61



## HfScB4 (PBE)

Data for an optimized crystal structure of HfScB4.

Computed properties:
Its final energy is -8.0410 eV/atom. As for the total moment: 0.00 μB/cell.

a = 5.9696 Å, b = 5.9696 Å, c = 5.9696 Å
α = 147.91°, β = 147.91°, γ = 46.02°
Last column: nearest neighbours and their distance in Å.
Sites, in units of the cell vectors:
Hf 0.0000 0.0000 0.0000  12 B 2.48-2.50
Sc 0.2500 0.7500 0.5000  12 B 2.48-2.50
B 0.4186 0.4186 0.0000  3 B 1.79-1.91
B 0.5814 0.5814 0.0000  3 B 1.79-1.91
B 0.6688 0.1688 0.5000  3 B 1.79-1.91
B 0.8312 0.3312 0.5000  3 B 1.79-1.91



## Hf2ScB (PBE)

Data for an optimized crystal structure of Hf2ScB.

Computed properties:
Its final energy is -8.0309 eV/atom. As for the total moment: 0.00 μB/cell.

a = 5.9649 Å, b = 5.9649 Å, c = 5.9649 Å
α = 101.73°, β = 101.73°, γ = 126.40°
Last column: nearest neighbours and their distance in Å.
Sites, in units of the cell vectors:
Hf 0.0426 0.6250 0.9176  2 B 2.36
Hf 0.3750 0.2926 0.4176  2 B 2.36
Hf 0.7074 0.1250 0.0824  2 B 2.36
Hf 0.8750 0.9574 0.5824  2 B 2.36
Sc 0.2500 0.7500 0.5000  2 B 2.69
Sc 0.5000 0.5000 0.0000  2 B 2.69
B 0.0000 0.0000 0.0000  4 Hf 2.36
B 0.7500 0.2500 0.5000  4 Hf 2.36



## Hf2ScSnB (PBE)

Data for an optimized crystal structure of Hf2ScSnB.

Computed properties:
The energy above the lowest structure with this stoichiometry comes out at 0.000 eV/atom. As for the total moment: 0.00 μB/cell.

a = 4.6018 Å, b = 4.6018 Å, c = 4.6033 Å
α = 90.00°, β = 90.00°, γ = 90.00°
Last column: nearest neighbours and their distance in Å.
Sites, in units of the cell vectors:
Hf 0.0000 0.5000 0.0000  2 B 2.30
Hf 0.5000 0.0000 0.0000  2 B 2.30
Sc 0.0000 0.0000 0.5000  2 B 2.30
Sn 0.5000 0.5000 0.5000  4 Sc 3.25, 8 Hf 3.25
B 0.0000 0.0000 0.0000  4 Hf 2.30, 2 Sc 2.30



## Hf2ScSnB (PBE)

Data for an optimized crystal structure of Hf2ScSnB.

Computed properties:
The energy above the lowest structure with this stoichiometry comes out at 1.806 eV/atom. As for the total moment: 0.00 μB/cell.

a = 5.0282 Å, b = 5.0282 Å, c = 4.4022 Å
α = 90.00°, β = 90.00°, γ = 90.00°
Last column: nearest neighbours and their distance in Å.
Sites, in units of the cell vectors:
Hf 0.0000 0.5000 0.0000  2 Sc 2.51
Hf 0.5000 0.0000 0.0000  2 Sc 2.51
Sc 0.0000 0.0000 0.0000  2 B 2.20
Sn 0.5000 0.5000 0.5000  8 Hf 3.34, 4 B 3.56
B 0.0000 0.0000 0.5000  2 Sc 2.20



## Sr2HfScB (PBE)

Data for an optimized crystal structure of Sr2HfScB.

Computed properties:
Its final energy is -3.4978 eV/atom. As for the total moment: 0.45 μB/cell.

a = 6.0743 Å, b = 6.0743 Å, c = 5.1493 Å
α = 90.00°, β = 90.00°, γ = 90.00°
Last column: nearest neighbours and their distance in Å.
Sites, in units of the cell vectors:
Sr 0.0000 0.5000 0.0000  2 Hf 3.04
Sr 0.5000 0.0000 0.0000  2 Hf 3.04
Hf 0.0000 0.0000 0.0000  2 Sc 2.57
Sc 0.0000 0.0000 0.5000  2 Hf 2.57
B 0.5000 0.5000 0.5000  8 Sr 3.98, 4 Sc 4.30



## Hf2ScTlB (PBE)

Data for an optimized crystal structure of Hf2ScTlB.

Computed properties:
Its final energy is -7.3754 eV/atom. As for the total moment: 0.00 μB/cell.

a = 4.6231 Å, b = 4.6231 Å, c = 4.6354 Å
α = 90.00°, β = 90.00°, γ = 90.00°
Last column: nearest neighbours and their distance in Å.
Sites, in units of the cell vectors:
Hf 0.0000 0.5000 0.0000  2 B 2.31
Hf 0.5000 0.0000 0.0000  2 B 2.31
Sc 0.0000 0.0000 0.5000  2 B 2.32
Tl 0.5000 0.5000 0.5000  4 Sc 3.27, 8 Hf 3.27
B 0.0000 0.0000 0.0000  4 Hf 2.31, 2 Sc 2.32



## Hf2BSe (PBE)

Data for an optimized crystal structure of Hf2BSe.

Computed properties:
The energy above the lowest structure with this stoichiometry comes out at 0.883 eV/atom. The value obtained for the formation energy from raw total energies is -0.1173 eV/atom. As for the total moment: 0.00 μB/cell.

a = 4.5124 Å, b = 4.5124 Å, c = 4.5124 Å
α = 60.00°, β = 60.00°, γ = 60.00°
Last column: nearest neighbours and their distance in Å.
Sites, in units of the cell vectors:
Hf 0.2500 0.2500 0.2500  4 Se 2.76, 4 B 2.76
Hf 0.7500 0.7500 0.7500  4 Se 2.76, 4 B 2.76
B 0.0000 0.0000 0.0000  8 Hf 2.76
Se 0.5000 0.5000 0.5000  8 Hf 2.76



## Hf2BSe (PBE)

Data for an optimized crystal structure of Hf2BSe.

Computed properties:
The energy above the lowest structure with this stoichiometry comes out at 0.000 eV/atom. The value obtained for the formation energy from raw total energies is -1.0000 eV/atom. As for the total moment: 0.00 μB/cell.

a = 6.6231 Å, b = 6.6231 Å, c = 6.6231 Å
α = 31.05°, β = 31.05°, γ = 31.05°
Last column: nearest neighbours and their distance in Å.
Sites, in units of the cell vectors:
Hf 0.2319 0.2319 0.2319  3 B 2.39
Hf 0.7681 0.7681 0.7681  3 B 2.39
B 0.5000 0.5000 0.5000  6 Hf 2.39
Se 0.0000 0.0000 0.0000  6 Hf 2.80



## HfB2Se (PBE)

Data for an optimized crystal structure of HfB2Se.

Computed properties:
The value obtained for the formation energy from raw total energies is 0.4985 eV/atom. As for the total moment: 0.00 μB/cell.

a = 5.2859 Å, b = 5.2859 Å, c = 5.2859 Å
α = 113.02°, β = 113.02°, γ = 102.58°
Last column: nearest neighbours and their distance in Å.
Sites, in units of the cell vectors:
Hf 0.0000 0.0000 0.0000  4 B 2.44
Hf 0.7500 0.2500 0.5000  4 B 2.44
B 0.1786 0.6250 0.0536  2 Se 2.03
B 0.3750 0.4286 0.5536  2 Se 2.03
B 0.5714 0.1250 0.9464  2 Se 2.03
B 0.8750 0.8214 0.4464  2 Se 2.03
Se 0.2500 0.7500 0.5000  4 B 2.03
Se 0.5000 0.5000 0.0000  4 B 2.03



## HfBSe2 (PBE)

Data for an optimized crystal structure of HfBSe2.

Computed properties:
The value obtained for the formation energy from raw total energies is 0.3484 eV/atom. As for the total moment: 0.00 μB/cell.

a = 8.0777 Å, b = 8.0777 Å, c = 8.0777 Å
α = 23.52°, β = 23.52°, γ = 23.52°
Last column: nearest neighbours and their distance in Å.
Sites, in units of the cell vectors:
Hf 0.0000 0.0000 0.0000  2 Se 2.64
B 0.5000 0.5000 0.5000  6 Se 2.30
Se 0.1120 0.1120 0.1120  3 B 2.30
Se 0.8880 0.8880 0.8880  3 B 2.30



## HfBSe3 (PBE)

Data for an optimized crystal structure of HfBSe3.

Computed properties:
The energy above the lowest structure with this stoichiometry comes out at 0.000 eV/atom. The value obtained for the formation energy from raw total energies is 0.2527 eV/atom. As for the total moment: 0.00 μB/cell.

a = 4.4664 Å, b = 4.4664 Å, c = 4.4664 Å
α = 90.00°, β = 90.00°, γ = 90.00°
Last column: nearest neighbours and their distance in Å.
Sites, in units of the cell vectors:
Hf 0.0000 0.0000 0.0000  12 Se 3.16
B 0.5000 0.5000 0.5000  6 Se 2.23
Se 0.0000 0.5000 0.5000  2 B 2.23
Se 0.5000 0.0000 0.5000  2 B 2.23
Se 0.5000 0.5000 0.0000  2 B 2.23



## Hf3BSe3 (PBE)

Data for an optimized crystal structure of Hf3BSe3.

Computed properties:
The value obtained for the formation energy from raw total energies is -1.1827 eV/atom. As for the total moment: 0.00 μB/cell.

a = 7.5159 Å, b = 3.6080 Å, c = 10.4323 Å
α = 90.00°, β = 90.34°, γ = 90.00°
Last column: nearest neighbours and their distance in Å.
Sites, in units of the cell vectors:
Hf 0.1011 0.2500 0.3886  3 B 2.43-2.45
Hf 0.1194 0.2500 0.8479  1 B 2.36, 2 Se 2.65
Hf 0.3295 0.7500 0.6215  2 B 2.40, 1 Se 2.65
Hf 0.6705 0.2500 0.3785  2 B 2.40, 1 Se 2.65
Hf 0.8806 0.7500 0.1521  1 B 2.36, 2 Se 2.65
Hf 0.8989 0.7500 0.6114  3 B 2.43-2.45
B 0.1191 0.2500 0.6215  6 Hf 2.36-2.45
B 0.8809 0.7500 0.3785  6 Hf 2.36-2.45
Se 0.1403 0.2500 0.1247  4 Hf 2.67-2.89
Se 0.3744 0.7500 0.8739  3 Hf 2.65
Se 0.3811 0.7500 0.3661  5 Hf 2.70-2.83
Se 0.6189 0.2500 0.6339  5 Hf 2.70-2.83
Se 0.6256 0.2500 0.1261  3 Hf 2.65
Se 0.8597 0.7500 0.8753  4 Hf 2.67-2.89



## Hf4BSe5 (PBE)

Data for an optimized crystal structure of Hf4BSe5.

Computed properties:
The value obtained for the formation energy from raw total energies is -1.2004 eV/atom. As for the total moment: 0.00 μB/cell.

a = 8.3140 Å, b = 8.3140 Å, c = 7.4722 Å
α = 101.87°, β = 101.87°, γ = 25.28°
Last column: nearest neighbours and their distance in Å.
Sites, in units of the cell vectors:
Hf 0.0000 0.0000 0.2230  2 B 2.47, 4 Se 2.64-2.76
Hf 0.0000 0.0000 0.7770  2 B 2.47, 4 Se 2.64-2.76
Hf 0.3487 0.3487 0.9259  1 B 2.40, 2 Se 2.64
Hf 0.6513 0.6513 0.0741  1 B 2.40, 2 Se 2.64
B 0.5000 0.5000 0.0000  6 Hf 2.40-2.47
Se 0.1659 0.1659 0.3348  3 Hf 2.64
Se 0.1701 0.1701 0.8196  4 Hf 2.69-2.84
Se 0.5000 0.5000 0.5000  4 Hf 2.76
Se 0.8299 0.8299 0.1804  4 Hf 2.69-2.84
Se 0.8341 0.8341 0.6652  3 Hf 2.64



## HfB3Se (PBE)

Data for an optimized crystal structure of HfB3Se.

Computed properties:
The energy above the lowest structure with this stoichiometry comes out at 0.000 eV/atom. The value obtained for the formation energy from raw total energies is 1.5535 eV/atom. As for the total moment: 0.00 μB/cell.

a = 4.0517 Å, b = 4.0517 Å, c = 4.0517 Å
α = 90.00°, β = 90.00°, γ = 90.00°
Last column: nearest neighbours and their distance in Å.
Sites, in units of the cell vectors:
Hf 0.0000 0.0000 0.0000  12 B 2.86
B 0.0000 0.5000 0.5000  2 Se 2.03
B 0.5000 0.0000 0.5000  2 Se 2.03
B 0.5000 0.5000 0.0000  2 Se 2.03
Se 0.5000 0.5000 0.5000  6 B 2.03



## HfB3Se (PBE)

Data for an optimized crystal structure of HfB3Se.

Computed properties:
The energy above the lowest structure with this stoichiometry comes out at 0.375 eV/atom. The value obtained for the formation energy from raw total energies is 1.9286 eV/atom. As for the total moment: 0.00 μB/cell.

a = 4.5343 Å, b = 4.5343 Å, c = 4.5343 Å
α = 90.00°, β = 90.00°, γ = 90.00°
Last column: nearest neighbours and their distance in Å.
Sites, in units of the cell vectors:
Hf 0.0000 0.0000 0.0000  6 B 2.27
B 0.0000 0.0000 0.5000  2 Hf 2.27
B 0.0000 0.5000 0.0000  2 Hf 2.27
B 0.5000 0.0000 0.0000  2 Hf 2.27
Se 0.5000 0.5000 0.5000  12 B 3.21